No. 1
Below is a geometry-optimized CaBr2 structure, with properties calculated at the PBE level.

- DOS at the Fermi energy: 0.00 states/eV per cell
- ρ: 3.22 g/cm³
- Formation energy without anion corrections: -195 kJ/mol of atoms
- Calculated total energy: -3.806 eV/atom

Cell: 6.779 6.933 4.392 Å, 90.00 90.00 90.00°
Fractional positions:
Ca  0.000  0.000  0.000
Ca  0.500  0.500  0.500
Br  0.215  0.180  0.500
Br  0.285  0.680  0.000
Br  0.715  0.320  0.000
Br  0.785  0.820  0.500

---

No. 2
Below is a geometry-optimized YCuNi structure, with properties calculated at the PBE level.

- DOS at the Fermi energy: 1.74 states/eV per cell
- ρ: 6.54 g/cm³
- Calculated total energy: -5.761 eV/atom
- E_form: -0.3135 eV/atom

Cell: 4.149 4.149 3.598 Å, 90.00 90.00 120.00°
Fractional positions:
Y  0.000  0.000  0.000
Cu  0.667  0.333  0.500
Ni  0.333  0.667  0.500